# 1
Below is CsPuSe2 after structural relaxation, with properties calculated at the GGA-PBE level.

Output
Uncorrected formation energy, eV per atom: -1.429
Total magnetic moment, μB/atom: 1.25

Cell lengths 4.3231, 4.3231, 25.2461 Å; angles 90.00, 90.00, 120.00 degrees
Last column: nearest neighbours and their distance in Å.
Space group R3m (No. 160, hexagonal axes)
Symmetry-distinct sites (fractional):
1 Cs 0.0000 0.0000 0.0000  6 Se 3.61-3.69
2 Pu 0.0000 0.0000 0.8311  6 Se 2.94
3 Se 0.0000 0.0000 0.2258  3 Pu 2.94
4 Se 0.0000 0.0000 0.4365  3 Pu 2.94

# 2
Below is ZrAg3 after structural relaxation, with properties calculated at the GGA-PBE level.

Output
Energy of formation from the pure elements, meV per atom: 176.3
Total magnetic moment, μB/atom: 0.11

Cell lengths 9.6734, 9.6734, 2.8730 Å; angles 90.00, 90.00, 120.00 degrees
Last column: nearest neighbours and their distance in Å.
Space group R-3m (No. 166, hexagonal axes)
Symmetry-distinct sites (fractional):
1 Zr 0.0000 0.0000 0.0000  2 Zr 2.87, 6 Ag 2.95
2 Ag 0.0000 0.5000 0.0000  6 Ag 2.87-2.95, 2 Zr 2.95

# 3
Below is CsZnTe2O8 after structural relaxation, with properties calculated at the GGA-PBE level.

Output
Uncorrected formation energy, eV per atom: -0.912
Total magnetic moment, μB/atom: 0.10

Cell lengths 5.4156, 5.4156, 9.1938 Å; angles 90.00, 90.00, 120.00 degrees
Last column: nearest neighbours and their distance in Å.
Space group P-3 (No. 147)
Symmetry-distinct sites (fractional):
1 Cs 0.0000 0.0000 0.0000  6 O 3.30
2 Zn 0.0000 0.0000 0.5000  6 O 2.06
3 Te 0.3333 0.6667 0.6867  4 O 1.84-1.86
4 O 0.0235 0.3177 0.6333  1 Te 1.86, 1 Zn 2.06
5 O 0.3333 0.6667 0.8868  1 Te 1.84

# 4
Below is Pm5HgGe3 after structural relaxation, with properties calculated at the GGA-PBE level.

Output
Energy of formation from the pure elements, meV per atom: -654.1
Total magnetic moment, μB/atom: 0.00

Cell lengths 9.1762, 9.1762, 6.4720 Å; angles 90.00, 90.00, 120.00 degrees
Last column: nearest neighbours and their distance in Å.
Space group P6_3/mcm (No. 193)
Symmetry-distinct sites (fractional):
1 Pm 0.0000 0.2925 0.2500  5 Ge 3.10-3.31, 2 Hg 3.13
2 Pm 0.3333 0.6667 0.0000  2 Pm 3.24, 6 Ge 3.33
3 Hg 0.0000 0.0000 0.0000  6 Pm 3.13, 2 Hg 3.24
4 Ge 0.0000 0.3690 0.7500  9 Pm 3.10-3.33

# 5
Below is BC2 after structural relaxation, with properties calculated at the GGA-PBE level.

Output
Energy of formation from the pure elements, meV per atom: 338.8
Total magnetic moment, μB/atom: 0.00
Energy above the lowest structure with this stoichiometry, kJ/mol of formula units: 29

Cell lengths 13.4205, 2.5060, 4.7140 Å; angles 90.00, 103.58, 90.00 degrees
Last column: nearest neighbours and their distance in Å.
Space group Cm (No. 8)
Symmetry-distinct sites (fractional):
1 B 0.0000 0.0000 0.0000  1 C 1.48
2 B 0.0336 0.5000 0.2622  2 C 1.58, 2 B 1.74
3 B 0.1507 0.0000 0.8694  3 C 1.64-1.67
4 B 0.3496 0.5000 0.8630  3 C 1.64-1.65
5 C 0.1543 0.5000 0.3728  3 C 1.53-1.55, 1 B 1.58
6 C 0.1900 0.0000 0.5645  3 C 1.53-1.55, 1 B 1.64
7 C 0.1960 0.5000 0.0963  2 C 1.53-1.56, 2 B 1.67
8 C 0.3072 0.0000 0.6450  2 C 1.53-1.54, 2 B 1.64
9 C 0.3160 0.5000 0.1776  3 C 1.56, 1 B 1.65
10 C 0.3512 0.0000 0.3709  4 C 1.54-1.57
11 C 0.4699 0.0000 0.5033  3 C 1.50-1.57, 1 B 1.58
12 C 0.4942 0.5000 0.6821  1 B 1.48, 2 C 1.50

# 6
Below is VReW2Br after structural relaxation, with properties calculated at the GGA-PBE level.

Output
Uncorrected formation energy, eV per atom: 2.242
Total magnetic moment, μB/atom: 0.40

Cell lengths 4.5713, 4.5713, 4.5400 Å; angles 90.00, 90.00, 90.00 degrees
Last column: nearest neighbours and their distance in Å.
Space group P4/mmm (No. 123)
Symmetry-distinct sites (fractional):
1 V 0.0000 0.0000 0.0000  8 W 3.22, 4 Re 3.23
2 Re 0.5000 0.5000 0.0000  2 Br 2.27
3 W 0.0000 0.5000 0.5000  2 Br 2.29
4 Br 0.5000 0.5000 0.5000  2 Re 2.27, 4 W 2.29

# 7
Below is Tm5Ga3 after structural relaxation, with properties calculated at the GGA-PBE level.

Output
Energy of formation from the pure elements, meV per atom: -500.9
Total magnetic moment, μB/atom: 0.00
Energy above the lowest structure with this stoichiometry, kJ/mol of formula units: 0

Cell lengths 7.5163, 7.5163, 13.9692 Å; angles 90.00, 90.00, 90.00 degrees
Last column: nearest neighbours and their distance in Å.
Space group I4/mcm (No. 140)
Symmetry-distinct sites (fractional):
1 Tm 0.0000 0.0000 0.0000  4 Ga 2.98
2 Tm 0.1682 0.3318 0.1477  5 Ga 3.02-3.14, 1 Tm 3.35
3 Ga 0.0000 0.0000 0.2500  10 Tm 3.14-3.49
4 Ga 0.1238 0.3762 0.5000  1 Ga 2.63

# 8
Below is Mn4AgRu after structural relaxation, with properties calculated at the GGA-PBE level.

Output
Energy of formation from the pure elements, meV per atom: 317.2
Total magnetic moment, μB/atom: 0.75

Cell lengths 6.7169, 6.7169, 6.7169 Å; angles 90.00, 90.00, 90.00 degrees
Last column: nearest neighbours and their distance in Å.
Space group F-43m (No. 216)
Symmetry-distinct sites (fractional):
1 Mn 0.1244 0.1244 0.3756  6 Mn 2.36-2.39
2 Ag 0.2500 0.2500 0.7500  12 Mn 2.78, 4 Ru 2.91
3 Ru 0.0000 0.0000 0.0000  12 Mn 2.79, 4 Ag 2.91

# 9
Below is Cu2PAu after structural relaxation, with properties calculated at the GGA-PBE level.

Output
Energy of formation from the pure elements, meV per atom: 83.8
Total magnetic moment, μB/atom: 0.00

Cell lengths 5.0085, 2.8880, 8.0839 Å; angles 90.00, 101.46, 90.00 degrees
Last column: nearest neighbours and their distance in Å.
Space group Cm (No. 8)
Symmetry-distinct sites (fractional):
1 Cu 0.0000 0.0000 0.0000  3 P 2.43
2 Cu 0.1873 0.0000 0.5552  3 P 2.42-2.43
3 P 0.0942 0.5000 0.7774  6 Cu 2.42-2.43
4 Au 0.2589 0.5000 0.2774  6 Cu 2.75-2.78, 6 Au 2.89

# 10
Below is HoMgHgPb after structural relaxation, with properties calculated at the GGA-PBE level.

Output
Energy of formation from the pure elements, meV per atom: -293.9
Total magnetic moment, μB/atom: 0.00
Energy above the lowest structure with this stoichiometry, kJ/mol of formula units: 27

Cell lengths 7.3820, 7.3820, 7.3820 Å; angles 90.00, 90.00, 90.00 degrees
Last column: nearest neighbours and their distance in Å.
Space group F-43m (No. 216)
Symmetry-distinct sites (fractional):
1 Ho 0.0000 0.0000 0.0000  4 Pb 3.20, 4 Hg 3.20
2 Mg 0.0000 0.0000 0.5000  4 Hg 3.20, 4 Pb 3.20
3 Hg 0.2500 0.2500 0.7500  4 Ho 3.20, 4 Mg 3.20
4 Pb 0.2500 0.2500 0.2500  4 Ho 3.20, 4 Mg 3.20

# 11
Below is Sn3HgS3 after structural relaxation, with properties calculated at the GGA-PBE level.

Output
Uncorrected formation energy, eV per atom: -0.281
Total magnetic moment, μB/atom: 0.00
Energy above the lowest structure with this stoichiometry, kJ/mol of formula units: 5

Cell lengths 13.5812, 3.9209, 14.1064 Å; angles 90.00, 90.00, 90.00 degrees
Last column: nearest neighbours and their distance in Å.
Space group Pnma (No. 62)
Symmetry-distinct sites (fractional):
1 Sn 0.0956 0.2500 0.0830  3 S 2.72-2.75
2 Sn 0.1117 0.2500 0.5671  3 S 2.59-2.63
3 Sn 0.2052 0.7500 0.8316  2 S 2.73
4 Hg 0.0459 0.2500 0.3099  4 Sn 3.27-3.39
5 S 0.0446 0.2500 0.8965  3 Sn 2.72-2.75
6 S 0.1987 0.7500 0.4750  2 Sn 2.63
7 S 0.2416 0.2500 0.7020  3 Sn 2.59-2.73

# 12
Below is YNi2Sb after structural relaxation, with properties calculated at the GGA-PBE level.

Output
Uncorrected formation energy, eV per atom: -0.279
Total magnetic moment, μB/atom: 0.00

Cell lengths 3.8461, 3.8670, 10.3020 Å; angles 90.00, 90.00, 90.00 degrees
Last column: nearest neighbours and their distance in Å.
Space group Imm2 (No. 44)
Symmetry-distinct sites (fractional):
1 Y 0.0000 0.0000 0.0000  6 Ni 2.87-3.09, 2 Sb 3.16
2 Ni 0.0000 0.0000 0.5862  2 Ni 2.47, 2 Sb 2.60
3 Ni 0.0000 0.5000 0.7348  2 Ni 2.47, 4 Sb 2.74
4 Sb 0.0000 0.5000 0.2566  6 Ni 2.60-2.74